Computed, not measured: CuAsS2 after structural relaxation at the GGA-PBE level of DFT.

CIF file:
```
data_CuAsS2
_chemical_formula_sum 'Cu2 As2 S4'
_cell_length_a 5.540
_cell_length_b 5.540
_cell_length_c 6.849
_cell_angle_alpha 66.14
_cell_angle_beta 66.14
_cell_angle_gamma 90.00
_space_group_name_H-M_alt 'P 1'
_space_group_IT_number 1
_space_group_name_Hall 'P 1'
loop_
_atom_site_label
_atom_site_type_symbol
_atom_site_fract_x
_atom_site_fract_y
_atom_site_fract_z
_atom_site_occupancy
As1 As 0.000 0.000 0.000 1
As2 As 0.750 0.250 0.500 1
S1 S 0.594 0.125 0.250 1
S2 S 0.156 0.625 0.250 1
S3 S 0.375 0.406 0.750 1
S4 S 0.875 0.844 0.750 1
Cu1 Cu 0.500 0.500 0.000 1
Cu2 Cu 0.250 0.750 0.500 1
```

Computed properties:
Raw formation energy = -0.01 eV per atom
Crystal system = tetragonal

Computed, not measured: W2C after structural relaxation at the GGA-PBE level of DFT.

CIF file:
```
data_W2C
_chemical_formula_sum 'W6 C3'
_cell_length_a 5.255
_cell_length_b 5.255
_cell_length_c 4.780
_cell_angle_alpha 90.00
_cell_angle_beta 90.00
_cell_angle_gamma 120.00
_space_group_name_H-M_alt 'P 1'
_space_group_IT_number 1
_space_group_name_Hall 'P 1'
loop_
_atom_site_label
_atom_site_type_symbol
_atom_site_fract_x
_atom_site_fract_y
_atom_site_fract_z
_atom_site_occupancy
C1 C 0.000 0.000 0.000 1
C2 C 0.333 0.667 0.500 1
C3 C 0.667 0.333 0.500 1
W1 W 0.335 0.335 0.755 1
W2 W 0.665 0.000 0.755 1
W3 W 0.000 0.665 0.755 1
W4 W 0.000 0.335 0.245 1
W5 W 0.335 0.000 0.245 1
W6 W 0.665 0.665 0.245 1
```

Computed properties:
Energy of formation = -0.01 eV per formula unit
Crystal system = trigonal

Computed, not measured: Mn2BeP after structural relaxation at the GGA-PBE level of DFT.

CIF file:
```
data_Mn2BeP
_chemical_formula_sum 'Mn2 Be1 P1'
_cell_length_a 7.317
_cell_length_b 7.317
_cell_length_c 7.317
_cell_angle_alpha 20.57
_cell_angle_beta 20.57
_cell_angle_gamma 20.57
_space_group_name_H-M_alt 'P 1'
_space_group_IT_number 1
_space_group_name_Hall 'P 1'
loop_
_atom_site_label
_atom_site_type_symbol
_atom_site_fract_x
_atom_site_fract_y
_atom_site_fract_z
_atom_site_occupancy
P1 P 0.250 0.250 0.250 1
Mn1 Mn 0.998 0.998 0.998 1
Mn2 Mn 0.502 0.502 0.502 1
Be1 Be 0.750 0.750 0.750 1
```

Computed properties:
Energy of formation = -0.03 eV per formula unit
Crystal system = trigonal
Energy above the lowest structure with this stoichiometry = 319 meV/atom

Computed, not measured: BaTa2Re after structural relaxation at the GGA-PBE level of DFT.

CIF file:
```
data_BaTa2Re
_chemical_formula_sum 'Ba1 Ta2 Re1'
_cell_length_a 3.258
_cell_length_b 3.252
_cell_length_c 9.216
_cell_angle_alpha 69.15
_cell_angle_beta 90.00
_cell_angle_gamma 90.00
_space_group_name_H-M_alt 'P 1'
_space_group_IT_number 1
_space_group_name_Hall 'P 1'
loop_
_atom_site_label
_atom_site_type_symbol
_atom_site_fract_x
_atom_site_fract_y
_atom_site_fract_z
_atom_site_occupancy
Re1 Re 0.500 0.750 0.750 1
Ba1 Ba 0.500 0.250 0.250 1
Ta1 Ta 0.000 0.077 0.921 1
Ta2 Ta 0.000 0.423 0.579 1
```

Computed properties:
Energy of formation = 2.01 eV per formula unit
Crystal system = monoclinic
Energy above the lowest structure with this stoichiometry = 0 meV/atom